1.
Compound: CoHgW2
Source: OQMD via LeMat-Bulk
Functional: PBE
Structure: relaxed

POSCAR file:
```
CoHgW2
1.0
0.0000 3.1657 3.1657
3.1657 0.0000 3.1657
3.1657 3.1657 0.0000
Co Hg W
1 1 2
direct
0.0000 0.0000 0.0000
0.2500 0.2500 0.2500
0.5000 0.5000 0.5000
0.7500 0.7500 0.7500
```

Values from the calculation:
calculated total energy = -7.599 eV per atom


2.
Compound: CoHg2W
Source: OQMD via LeMat-Bulk
Functional: PBE
Structure: relaxed

POSCAR file:
```
CoHg2W
1.0
0.0000 3.2373 3.2373
3.2373 0.0000 3.2373
3.2373 3.2373 0.0000
Co Hg W
1 2 1
direct
0.0000 0.0000 0.0000
0.2500 0.2500 0.2500
0.5000 0.5000 0.5000
0.7500 0.7500 0.7500
```

Values from the calculation:
calculated total energy = -4.202 eV per atom


3.
Compound: CoHgW
Source: OQMD via LeMat-Bulk
Functional: PBE
Structure: relaxed

POSCAR file:
```
CoHgW
1.0
0.0000 3.0476 3.0476
3.0476 0.0000 3.0476
3.0476 3.0476 0.0000
Co Hg W
1 1 1
direct
0.0000 0.0000 0.0000
0.5000 0.5000 0.5000
0.2500 0.2500 0.2500
```

Values from the calculation:
distance to the lowest polymorph of the same formula = 509.4 meV per atom
calculated total energy = -5.492 eV per atom